[1]
{
  "formula": "Pu4H5F",
  "functional": "PBE",
  "state": "optimized geometry",
  "lattice_angstrom": [[-1.8687, -0.4916, -3.1536], [4.3729, -2.6836, -2.1729], [-1.4759, -5.6307, 3.9210]],
  "species": ["Pu", "Pu", "Pu", "Pu", "H", "H", "H", "H", "H", "F"],
  "fractional_positions": [[0.6857, 0.7523, 0.3714], [0.0608, 0.2712, 0.1216], [0.3143, 0.2477, 0.6286], [0.9392, 0.7288, 0.8784], [0.1795, 0.0003, 0.3589], [0.1872, 0.5121, 0.3744], [0.8128, 0.4879, 0.6256], [0.5000, 0.5000, 0.0000], [0.8205, 0.9997, 0.6411], [0.5000, 0.0000, 0.0000]],
  "space_group": "C2/m, No. 12",
  "n_ef_per_ev_cell": 25.4,
  "vol_a3_per_cell": 139.5
}



[2]
{
  "formula": "PuH2F6",
  "functional": "PBE",
  "state": "optimized geometry",
  "lattice_angstrom": [[-4.1147, -3.0177, -0.0864], [1.6154, -4.0232, 5.9090], [-4.1263, 3.8409, 4.6833]],
  "species": ["Pu", "Pu", "H", "H", "H", "H", "F", "F", "F", "F", "F", "F", "F", "F", "F", "F", "F", "F"],
  "fractional_positions": [[0.2500, 0.1320, 0.8680], [0.7500, 0.8680, 0.1320], [0.2487, 0.6587, 0.6326], [0.2513, 0.3674, 0.3413], [0.7513, 0.3413, 0.3674], [0.7487, 0.6326, 0.6587], [0.4129, 0.7067, 0.5863], [0.0871, 0.4137, 0.2933], [0.5871, 0.2933, 0.4137], [0.9129, 0.5863, 0.7067], [0.8834, 0.8425, 0.3842], [0.6166, 0.6158, 0.1575], [0.1166, 0.1575, 0.6158], [0.3834, 0.3842, 0.8425], [0.1384, 0.8421, 0.9459], [0.3616, 0.0541, 0.1579], [0.8616, 0.1579, 0.0541], [0.6384, 0.9459, 0.8421]],
  "space_group": "C2/c, No. 15",
  "relative_energy_mev_per_atom": 57.8,
  "n_ef_per_ev_cell": 20.3,
  "vol_a3_per_cell": 268.2
}



[3]
{
  "formula": "Pu2HF",
  "functional": "PBE",
  "state": "optimized geometry",
  "lattice_angstrom": [[-2.3722, -0.8125, 1.3272], [1.3525, 0.1202, 2.4910], [-1.7617, 6.2162, 0.6566]],
  "species": ["H", "F", "Pu", "Pu"],
  "fractional_positions": [[0.5000, 0.5000, 0.5000], [0.5000, 0.5000, 0.0000], [0.0000, 0.0000, 0.6736], [0.0000, 0.0000, 0.3264]],
  "space_group": "P4/mmm, No. 123",
  "relative_energy_mev_per_atom": 736.9,
  "n_ef_per_ev_cell": 6.0,
  "vol_a3_per_cell": 52.3
}



[4]
{
  "formula": "RbPuH2F8",
  "functional": "PBE",
  "state": "optimized geometry",
  "lattice_angstrom": [[-0.8982, -2.7910, 4.8897], [2.0758, -2.7756, -4.5269], [7.2478, 1.6826, 2.2917]],
  "species": ["Rb", "Pu", "H", "H", "F", "F", "F", "F", "F", "F", "F", "F"],
  "fractional_positions": [[0.0000, 0.0000, 0.5000], [0.0000, 0.0000, 0.0000], [0.6667, 0.3333, 0.2875], [0.3333, 0.6667, 0.7125], [0.8362, 0.6725, 0.8348], [0.3275, 0.1638, 0.8348], [0.8362, 0.1638, 0.8348], [0.1638, 0.3275, 0.1652], [0.6725, 0.8362, 0.1652], [0.1638, 0.8362, 0.1652], [0.6667, 0.3333, 0.4086], [0.3333, 0.6667, 0.5914]],
  "space_group": "P-3m1, No. 164",
  "n_ef_per_ev_cell": 10.8,
  "vol_a3_per_cell": 219.2
}



[5]
{
  "formula": "SrPuH2F8",
  "functional": "PBE",
  "state": "optimized geometry",
  "lattice_angstrom": [[3.8258, 0.8470, 0.0069], [0.7737, 5.4904, -0.4822], [0.1750, -0.8060, 8.2881]],
  "species": ["Sr", "Pu", "H", "H", "F", "F", "F", "F", "F", "F", "F", "F"],
  "fractional_positions": [[0.0000, 0.0000, 0.5000], [0.0000, 0.0000, 0.0000], [0.2522, 0.4955, 0.6519], [0.7478, 0.5045, 0.3481], [0.1000, 0.7974, 0.1951], [0.6146, 0.7692, 0.9428], [0.8535, 0.2952, 0.2852], [0.9000, 0.2026, 0.8049], [0.3854, 0.2308, 0.0572], [0.1465, 0.7048, 0.7148], [0.6417, 0.7146, 0.4320], [0.3583, 0.2854, 0.5680]],
  "space_group": "P-1, No. 2",
  "n_ef_per_ev_cell": 7.0,
  "vol_a3_per_cell": 167.1
}



[6]
{
  "formula": "PuTlHF6",
  "functional": "PBE",
  "state": "optimized geometry",
  "lattice_angstrom": [[-0.1463, -5.1721, -0.2861], [4.1841, -3.9384, 2.5726], [-4.0964, 0.2567, 4.8116]],
  "species": ["Pu", "Tl", "H", "F", "F", "F", "F", "F", "F"],
  "fractional_positions": [[0.3540, 0.3230, 0.5013], [0.1383, 0.9530, 0.9999], [0.3652, 0.8173, 0.4975], [0.9616, 0.3882, 0.3240], [0.4425, 0.9425, 0.5852], [0.7553, 0.2296, 0.6845], [0.0835, 0.5530, 0.7823], [0.2774, 0.6969, 0.4116], [0.6220, 0.0965, 0.2137]],
  "space_group": "P1, No. 1",
  "n_ef_per_ev_cell": 2.3,
  "vol_a3_per_cell": 165.8
}



[7]
{
  "formula": "PuTl2HF6",
  "functional": "PBE",
  "state": "optimized geometry",
  "lattice_angstrom": [[6.2446, 0.0000, 0.9364], [0.0000, 7.6481, 0.0000], [1.6649, 0.0000, 9.7526]],
  "species": ["Pu", "Pu", "Tl", "Tl", "Tl", "Tl", "H", "H", "F", "F", "F", "F", "F", "F", "F", "F", "F", "F", "F", "F"],
  "fractional_positions": [[0.0000, 0.5000, 0.5000], [0.5000, 0.0000, 0.0000], [0.8160, 0.9512, 0.3571], [0.6840, 0.4512, 0.1429], [0.3160, 0.5488, 0.8571], [0.1840, 0.0488, 0.6429], [0.0000, 0.5000, 0.0000], [0.5000, 0.0000, 0.5000], [0.6822, 0.5167, 0.6641], [0.6579, 0.0805, 0.1581], [0.9500, 0.2213, 0.4712], [0.5500, 0.7213, 0.0288], [0.8421, 0.5805, 0.3419], [0.8178, 0.0167, 0.8359], [0.1822, 0.9833, 0.1641], [0.1579, 0.4195, 0.6581], [0.4500, 0.2787, 0.9712], [0.3421, 0.9195, 0.8419], [0.0500, 0.7787, 0.5288], [0.3178, 0.4833, 0.3359]],
  "space_group": "P2_1/c, No. 14",
  "n_ef_per_ev_cell": 3.1,
  "vol_a3_per_cell": 453.9
}



[8]
{
  "formula": "Rb7H4F4",
  "functional": "PBE",
  "state": "optimized geometry",
  "lattice_angstrom": [[7.1375, 0.0000, 1.9818], [3.5687, 10.1040, 0.9909], [0.8655, 0.0000, 10.7265]],
  "species": ["Rb", "Rb", "Rb", "Rb", "Rb", "Rb", "Rb", "Rb", "Rb", "Rb", "Rb", "Rb", "Rb", "Rb", "H", "H", "H", "H", "H", "H", "H", "H", "F", "F", "F", "F", "F", "F", "F", "F"],
  "fractional_positions": [[0.5000, 0.6486, 0.3514], [0.5000, 0.3514, 0.6486], [0.1486, 0.3514, 0.3514], [0.8514, 0.6486, 0.6486], [0.7482, 0.0000, 0.0000], [0.2518, 0.0000, 0.0000], [0.7147, 0.5706, 0.0000], [0.2853, 0.4294, 0.0000], [0.2853, 0.0000, 0.4294], [0.7147, 0.0000, 0.5706], [0.0000, 0.2710, 0.7290], [0.0000, 0.7290, 0.2710], [0.2710, 0.7290, 0.7290], [0.7290, 0.2710, 0.2710], [0.8836, 0.2328, 0.0000], [0.1164, 0.7672, 0.0000], [0.1164, 0.0000, 0.7672], [0.8836, 0.0000, 0.2328], [0.5000, 0.8401, 0.1599], [0.5000, 0.1599, 0.8401], [0.3401, 0.1599, 0.1599], [0.6599, 0.8401, 0.8401], [0.1083, 0.7834, 0.5000], [0.3917, 0.2166, 0.5000], [0.3917, 0.5000, 0.2166], [0.1083, 0.5000, 0.7834], [0.8917, 0.5000, 0.2166], [0.6083, 0.5000, 0.7834], [0.6083, 0.7834, 0.5000], [0.8917, 0.2166, 0.5000]],
  "space_group": "I4/mmm, No. 139",
  "n_ef_per_ev_cell": 8.0,
  "vol_a3_per_cell": 756.2
}



[9]
{
  "formula": "RbH3F",
  "functional": "PBE",
  "state": "optimized geometry",
  "lattice_angstrom": [[4.2148, 0.0000, 0.0000], [0.0000, 4.2148, 0.0000], [0.0000, 0.0000, 4.2148]],
  "species": ["H", "H", "H", "Rb", "F"],
  "fractional_positions": [[0.0000, 0.5000, 0.0000], [0.0000, 0.0000, 0.5000], [0.5000, 0.0000, 0.0000], [0.5000, 0.5000, 0.5000], [0.0000, 0.0000, 0.0000]],
  "space_group": "Pm-3m, No. 221",
  "relative_energy_mev_per_atom": 0.0,
  "n_ef_per_ev_cell": 2.1,
  "vol_a3_per_cell": 74.9
}



[10]
{
  "formula": "Rb3HF2",
  "functional": "PBE",
  "state": "optimized geometry",
  "lattice_angstrom": [[-2.4425, 4.6265, 2.5290], [-6.7185, -1.0114, -4.6379], [-4.8747, -7.3043, 8.6543]],
  "species": ["Rb", "Rb", "Rb", "Rb", "Rb", "Rb", "Rb", "Rb", "Rb", "Rb", "Rb", "Rb", "H", "H", "H", "H", "F", "F", "F", "F", "F", "F", "F", "F"],
  "fractional_positions": [[0.2503, 0.6319, 0.5855], [0.2503, 0.1319, 0.9145], [0.2503, 0.6200, 0.9133], [0.2503, 0.1200, 0.5867], [0.2494, 0.6245, 0.2523], [0.2494, 0.1245, 0.2477], [0.7506, 0.8755, 0.7523], [0.7506, 0.3755, 0.7477], [0.7497, 0.8800, 0.4133], [0.7497, 0.3800, 0.0867], [0.7497, 0.8681, 0.0855], [0.7497, 0.3681, 0.4145], [0.2496, 0.8722, 0.0822], [0.2496, 0.3722, 0.4178], [0.7504, 0.6278, 0.5822], [0.7504, 0.1278, 0.9178], [0.2508, 0.8757, 0.7518], [0.2508, 0.3757, 0.7482], [0.2496, 0.8771, 0.4155], [0.2496, 0.3771, 0.0845], [0.7504, 0.6229, 0.9155], [0.7504, 0.1229, 0.5845], [0.7492, 0.6243, 0.2518], [0.7492, 0.1243, 0.2482]],
  "space_group": "P2_1/c, No. 14",
  "n_ef_per_ev_cell": 0.0,
  "vol_a3_per_cell": 589.4
}



[11]
{
  "formula": "Rb6H5F2",
  "functional": "PBE",
  "state": "optimized geometry",
  "lattice_angstrom": [[4.2667, 0.0000, 0.0000], [0.0000, 12.0427, 0.0000], [0.0000, 0.0000, 14.3889]],
  "species": ["Rb", "Rb", "Rb", "Rb", "Rb", "Rb", "Rb", "Rb", "Rb", "Rb", "Rb", "Rb", "H", "H", "H", "H", "H", "H", "H", "H", "H", "H", "F", "F", "F", "F"],
  "fractional_positions": [[0.0000, 0.2015, 0.4127], [0.0000, 0.7985, 0.5873], [0.0000, 0.7015, 0.0873], [0.0000, 0.2985, 0.9127], [0.5000, 0.3706, 0.1796], [0.5000, 0.6294, 0.8204], [0.5000, 0.8706, 0.3204], [0.5000, 0.1294, 0.6796], [0.0000, 0.5739, 0.3559], [0.0000, 0.4261, 0.6441], [0.0000, 0.0739, 0.1441], [0.0000, 0.9261, 0.8559], [0.5000, 0.3083, 0.5401], [0.5000, 0.6917, 0.4599], [0.5000, 0.8083, 0.9599], [0.5000, 0.1917, 0.0401], [0.5000, 0.6123, 0.2152], [0.5000, 0.3877, 0.7848], [0.5000, 0.1123, 0.2848], [0.5000, 0.8877, 0.7152], [0.5000, 0.5000, 0.0000], [0.5000, 0.0000, 0.5000], [0.0000, 0.3675, 0.2893], [0.0000, 0.6325, 0.7107], [0.0000, 0.8675, 0.2107], [0.0000, 0.1325, 0.7893]],
  "space_group": "Pbam, No. 55",
  "n_ef_per_ev_cell": 10.9,
  "vol_a3_per_cell": 739.3
}



[12]
{
  "formula": "Rb7H5F",
  "functional": "PBE",
  "state": "optimized geometry",
  "lattice_angstrom": [[4.0727, -0.0002, 0.0000], [-2.0367, 7.3553, 0.0084], [0.0000, -0.0323, 27.8203]],
  "species": ["Rb", "Rb", "Rb", "Rb", "Rb", "Rb", "Rb", "Rb", "Rb", "Rb", "Rb", "Rb", "Rb", "Rb", "H", "H", "H", "H", "H", "H", "H", "H", "H", "H", "F", "F"],
  "fractional_positions": [[0.3560, 0.7123, 0.2501], [0.6438, 0.2881, 0.7500], [0.6392, 0.2783, 0.0351], [0.3618, 0.7236, 0.9647], [0.3616, 0.7232, 0.5353], [0.6390, 0.2779, 0.4649], [0.1391, 0.2779, 0.1769], [0.8611, 0.7224, 0.8232], [0.8611, 0.7224, 0.6769], [0.1391, 0.2779, 0.3232], [0.9109, 0.8217, 0.0940], [0.0899, 0.1798, 0.9058], [0.0898, 0.1795, 0.5942], [0.9107, 0.8214, 0.4060], [0.0005, 0.0010, 0.9999], [0.7288, 0.4576, 0.9302], [0.2723, 0.5446, 0.0692], [0.5434, 0.0866, 0.3750], [0.4571, 0.9143, 0.6251], [0.0003, 0.0005, 0.5001], [0.2721, 0.5442, 0.4306], [0.7285, 0.4570, 0.5696], [0.4574, 0.9148, 0.8748], [0.5436, 0.0871, 0.1250], [0.7167, 0.4319, 0.2501], [0.2834, 0.5686, 0.7501]],
  "space_group": "P1, No. 1",
  "n_ef_per_ev_cell": 2.7,
  "vol_a3_per_cell": 833.4
}



[13]
{
  "formula": "RbHF5",
  "functional": "PBE",
  "state": "optimized geometry",
  "lattice_angstrom": [[-4.8055, 2.9578, -1.4597], [2.4675, 0.0784, 4.7945], [8.3677, 13.9105, 17.0189]],
  "species": ["Rb", "Rb", "H", "H", "F", "F", "F", "F", "F", "F", "F", "F", "F", "F"],
  "fractional_positions": [[0.0000, 0.0000, 0.0000], [0.0000, 0.0000, 0.5000], [0.7558, 0.9604, 0.2799], [0.2442, 0.0396, 0.7201], [0.3967, 0.7541, 0.1219], [0.4383, 0.0064, 0.5743], [0.0059, 0.0716, 0.6960], [0.6084, 0.0115, 0.2578], [0.2707, 0.5372, 0.0287], [0.7293, 0.4628, 0.9713], [0.3916, 0.9885, 0.7422], [0.9941, 0.9284, 0.3040], [0.5617, 0.9936, 0.4257], [0.6033, 0.2459, 0.8781]],
  "space_group": "P-1, No. 2",
  "vol_a3_per_cell": 259.4
}



[14]
{
  "formula": "RbHF2",
  "functional": "PBE",
  "state": "optimized geometry",
  "lattice_angstrom": [[6.4150, 0.0000, 0.0000], [0.0000, 6.1237, 0.3357], [0.0000, -2.7246, 6.7936]],
  "species": ["Rb", "Rb", "Rb", "Rb", "H", "H", "H", "H", "F", "F", "F", "F", "F", "F", "F", "F"],
  "fractional_positions": [[0.2076, 0.3278, 0.0730], [0.2924, 0.8278, 0.5730], [0.7924, 0.6722, 0.9270], [0.7076, 0.1722, 0.4270], [0.6720, 0.1872, 0.9244], [0.1720, 0.3128, 0.5756], [0.3280, 0.8128, 0.0756], [0.8280, 0.6872, 0.4244], [0.5606, 0.2164, 0.8118], [0.2204, 0.8342, 0.9562], [0.0606, 0.2836, 0.6882], [0.4394, 0.7836, 0.1882], [0.7796, 0.1658, 0.0438], [0.7204, 0.6658, 0.5438], [0.2796, 0.3342, 0.4562], [0.9394, 0.7164, 0.3118]],
  "space_group": "P2_1/c, No. 14",
  "n_ef_per_ev_cell": 0.0,
  "vol_a3_per_cell": 272.7
}



[15]
{
  "formula": "RbHF4",
  "functional": "PBE",
  "state": "optimized geometry",
  "lattice_angstrom": [[7.3212, 3.9166, -1.7623], [-0.2533, 8.4576, -1.7113], [-2.1720, -3.7739, 4.0988]],
  "species": ["Rb", "Rb", "H", "H", "F", "F", "F", "F", "F", "F", "F", "F"],
  "fractional_positions": [[0.6761, 0.2457, 0.6939], [0.3239, 0.7543, 0.3061], [0.1091, 0.8028, 0.6285], [0.8909, 0.1972, 0.3715], [0.8591, 0.7559, 0.3086], [0.2918, 0.8301, 0.8552], [0.8268, 0.7088, 0.9198], [0.8030, 0.6786, 0.5889], [0.1409, 0.2441, 0.6914], [0.1732, 0.2912, 0.0802], [0.7082, 0.1699, 0.1448], [0.1970, 0.3214, 0.4111]],
  "space_group": "P-1, No. 2",
  "n_ef_per_ev_cell": 0.0,
  "vol_a3_per_cell": 191.1
}



[16]
{
  "formula": "Rb5H4F",
  "functional": "PBE",
  "state": "optimized geometry",
  "lattice_angstrom": [[4.1293, 0.0000, -0.7967], [-0.3071, 5.7343, -1.5918], [0.0183, 0.0123, 11.1950]],
  "species": ["Rb", "Rb", "Rb", "Rb", "Rb", "H", "H", "H", "H", "F"],
  "fractional_positions": [[0.5950, 0.0950, 0.1899], [0.7994, 0.2994, 0.5989], [0.2006, 0.7006, 0.4011], [0.0000, 0.5000, 0.0000], [0.4050, 0.9050, 0.8101], [0.4017, 0.4017, 0.8034], [0.8016, 0.8016, 0.6033], [0.1984, 0.1984, 0.3967], [0.5983, 0.5983, 0.1966], [0.0000, 0.0000, 0.0000]],
  "space_group": "Immm, No. 71",
  "n_ef_per_ev_cell": 0.0,
  "vol_a3_per_cell": 265.3
}



[17]
{
  "formula": "RbHF2",
  "functional": "PBE",
  "state": "optimized geometry",
  "lattice_angstrom": [[-0.8954, -4.8581, -1.4337], [-0.1432, -1.4311, 4.9386], [-4.1243, -2.5041, 1.8335]],
  "species": ["H", "H", "Rb", "Rb", "F", "F", "F", "F"],
  "fractional_positions": [[0.5000, 0.5000, 0.0000], [0.2500, 0.7500, 0.5000], [0.0000, 0.0000, 0.0000], [0.7500, 0.2500, 0.5000], [0.3753, 0.1250, 0.2500], [0.3747, 0.6250, 0.2500], [0.3750, 0.6247, 0.7500], [0.8750, 0.6253, 0.7500]],
  "space_group": "I4_1/amd, No. 141",
  "n_ef_per_ev_cell": 0.0,
  "vol_a3_per_cell": 96.9
}



[18]
{
  "formula": "Rb3HF2",
  "functional": "PBE",
  "state": "optimized geometry",
  "lattice_angstrom": [[5.8103, 0.0000, 0.0000], [0.0000, 8.2203, 0.0023], [-2.9051, -2.0567, 6.1754]],
  "species": ["Rb", "Rb", "Rb", "Rb", "Rb", "Rb", "H", "H", "F", "F", "F", "F"],
  "fractional_positions": [[0.4998, 0.2500, 0.0000], [0.5002, 0.7500, 0.0000], [0.1722, 0.0862, 0.3448], [0.8274, 0.4138, 0.6552], [0.1726, 0.5862, 0.3448], [0.8278, 0.9138, 0.6552], [0.0003, 0.7500, 0.0000], [0.9997, 0.2500, 0.0000], [0.6667, 0.5832, 0.3329], [0.6662, 0.0832, 0.3329], [0.3338, 0.9168, 0.6671], [0.3333, 0.4168, 0.6671]],
  "space_group": "Immm, No. 71",
  "n_ef_per_ev_cell": 0.0,
  "vol_a3_per_cell": 295.0
}



| no. | uncorrected energy (eV/atom) | total magnetic moment (μB per atom) |
| --- | --- | --- |
| 1 | -8.219 | 0.08 |
| 2 | -6.092 | 0.44 |
| 3 | -8.749 | 0.00 |
| 4 | -5.631 | 0.25 |
| 5 | -6.078 | 0.33 |
| 6 | -6.154 | 0.44 |
| 7 | -5.657 | 0.50 |
| 8 | -3.146 | 0.07 |
| 9 | -2.096 | 0.56 |
| 10 | -3.501 | 0.00 |
| 11 | -2.748 | 0.08 |
| 12 | -2.424 | 0.00 |
| 13 | -3.212 | 0.14 |
| 14 | -4.291 | 0.00 |
| 15 | -3.514 | 0.01 |
| 16 | -2.683 | 0.00 |
| 17 | -3.704 | 0.00 |
| 18 | -3.502 | 0.00 |